DFT (PBE) results for SiP2Br after structural relaxation.

extended XYZ file:
```
4
Lattice="-2.186 1.695 0.153 0.335 -0.688 -2.663 -6.816 -8.917 1.446" Properties=species:S:1:pos:R:3 pbc="T T T"
P -2.815 -3.684 0.597
P -0.592 -0.775 0.126
Si -2.629 -1.725 -0.893
Br -6.037 -6.184 -0.170
```

Computed properties:
DOS at the Fermi energy: 2.08 states/eV/f.u.
Magnetic moment: 0.0 μB per cell
Energy above the most stable polymorph in this dataset: 191 kJ/mol of formula units
VASP energy: -15.66 eV/cell
Formation energy without anion corrections: 54 kJ/mol of atoms
SG: Cmmm, No. 65
Calculated density: 3407 kg/m3
Volume: 20.71 Å³/atom